# Zn2Co2Hg, optimized geometry, DFT GGA-PBE
# * D(E_F): 12.7 states/eV per cell
# * DFT formation energy: 355.8 meV per atom
data_Zn2Co2Hg
_cell_length_a 3.619
_cell_length_b 3.619
_cell_length_c 11.688
_cell_angle_alpha 90.00
_cell_angle_beta 90.00
_cell_angle_gamma 90.00
_space_group_name_H-M_alt 'I 4/m m m'
_space_group_IT_number 139
_space_group_name_Hall '-I 4 2'
loop_
_atom_site_label
_atom_site_type_symbol
_atom_site_fract_x
_atom_site_fract_y
_atom_site_fract_z
Zn1 Zn 0.000 0.500 0.250
Co1 Co 0.000 0.000 0.098
Hg1 Hg 0.000 0.000 0.500